# 1
Compound: Li2CrPb
Source: the Alexandria database
Functional: meta-GGA SCAN
Structure: PBEsol geometry

```
4
Lattice="4.0037 0.0000 0.0000 0.0000 4.0192 0.0000 -0.0062 0.0000 4.4160" Properties=species:S:1:pos:R:3 pbc="T T T"
Li 0.0000 0.0000 0.0000
Li 2.0018 2.0096 0.0000
Cr -0.0031 2.0096 2.2080
Pb 1.9987 0.0000 2.2080
```

Energy ... -1.82369 Ry/atom
ΔE_f ... -76 meV per atom
Space-group type ... No. 10

***

# 2
Compound: LiTa2CrPb
Source: the Alexandria database
Functional: meta-GGA SCAN
Structure: PBEsol geometry

```
5
Lattice="4.4508 0.0000 0.0000 0.0000 4.4508 0.0000 0.0000 0.0000 4.2161" Properties=species:S:1:pos:R:3 pbc="T T T"
Li 0.0000 0.0000 0.0000
Ta 0.0000 2.2254 0.0000
Ta 2.2254 0.0000 0.0000
Cr 0.0000 0.0000 2.1080
Pb 2.2254 2.2254 2.1080
```

Energy ... -3.29884 Ry/atom
ΔE_f ... 1061 meV per atom
Space-group type ... No. 123

***

# 3
Compound: LiCrSbPd2
Source: the Alexandria database
Functional: meta-GGA SCAN
Structure: PBEsol geometry

```
5
Lattice="4.9488 0.0000 0.0000 0.0000 4.9488 0.0000 0.0000 0.0000 5.0196" Properties=species:S:1:pos:R:3 pbc="T T T"
Li 0.0000 0.0000 0.0000
Cr 2.4744 2.4744 0.0000
Sb 2.4744 2.4744 2.5098
Pd 0.0000 2.4744 2.5098
Pd 2.4744 0.0000 2.5098
```

Energy ... -1.79312 Ry/atom
E_form (uncorrected) ... 320 meV/atom
Space-group type ... No. 123

***

# 4
Compound: Li2CrPt
Source: the Alexandria database
Functional: meta-GGA SCAN
Structure: PBEsol geometry

```
16
Lattice="5.9530 0.0000 0.0000 0.0000 5.9530 0.0000 0.0000 0.0000 5.9530" Properties=species:S:1:pos:R:3 pbc="T T T"
Li 1.4883 1.4883 1.4883
Li 1.4883 1.4883 4.4648
Li 1.4883 4.4648 1.4883
Li 1.4883 4.4648 4.4648
Li 4.4648 1.4883 1.4883
Li 4.4648 1.4883 4.4648
Li 4.4648 4.4648 1.4883
Li 4.4648 4.4648 4.4648
Cr 0.0000 0.0000 0.0000
Cr 0.0000 2.9765 2.9765
Cr 2.9765 0.0000 2.9765
Cr 2.9765 2.9765 0.0000
Pt 0.0000 0.0000 2.9765
Pt 0.0000 2.9765 0.0000
Pt 2.9765 0.0000 0.0000
Pt 2.9765 2.9765 2.9765
```

Energy ... -1.73726 Ry/atom
ΔE_f ... -297 meV per atom
Space-group type ... No. 225